## LiMn (GGA-PBE)

Data for crystalline LiMn at its relaxed geometry. Values from VASP.

ΔH_f (0 K)	305	kJ/mol of formula units
N(E_F)	3.80	states/eV/f.u.
spin magnetization	25.85	Bohr magnetons per cell
symmetry	Pm-3n, No. 223

Geometry as Quantum ESPRESSO input:
```
&SYSTEM
  ibrav = 0, nat = 12, ntyp = 2
/
ATOMIC_SPECIES
Li 6.94 Li.upf
Mn 54.94 Mn.upf
ATOMIC_POSITIONS crystal
Li 0.250 0.500 0.000
Li 0.750 0.500 0.000
Li 0.500 0.000 0.250
Li 0.500 0.000 0.750
Li 0.000 0.250 0.500
Li 0.000 0.750 0.500
Mn 0.250 0.000 0.500
Mn 0.750 0.000 0.500
Mn 0.000 0.500 0.250
Mn 0.000 0.500 0.750
Mn 0.500 0.250 0.000
Mn 0.500 0.750 0.000
CELL_PARAMETERS angstrom
-4.874 5.017 -2.766
-1.830 -4.805 -5.490
-5.429 -2.884 4.334
```